1.
Compound: NaSn2BiBr8
Source: the Alexandria database
Functional: PBE
Structure: optimized geometry

Unit cell a=6.8610 b=8.7712 c=7.2007 alpha=90.00 beta=91.32 gamma=90.00
Space group P2/m (No. 10)
Unique sites:
Na: 0.0000 0.0000 0.0000
Sn: 0.5000 0.2446 0.5000
Bi: 0.0000 0.5000 0.0000
Br: 0.2358 0.2563 0.1580
Br: 0.2417 0.5000 0.6747
Br: 0.2746 0.0000 0.6565

Output
Total DFT energy (no corrections) in eV/cell: -37.09

---

2.
Compound: NaSnBiBr6
Source: the Alexandria database
Functional: PBE
Structure: optimized geometry

Unit cell a=7.3974 b=7.3974 c=13.2352 alpha=90.00 beta=90.00 gamma=120.00
Space group P-31c (No. 163)
Unique sites:
Na: 0.3333 0.6667 0.2500
Sn: 0.0000 0.0000 0.0000
Bi: 0.3333 0.6667 0.7500
Br: 0.0105 0.3461 0.6251

Output
Total DFT energy (no corrections) in eV/cell: -54.92

---

3.
Compound: NaSrBiBr6
Source: the Alexandria database
Functional: PBE
Structure: optimized geometry

Unit cell a=7.5883 b=7.5883 c=13.3272 alpha=90.00 beta=90.00 gamma=120.00
Space group P-31c (No. 163)
Unique sites:
Na: 0.0000 0.0000 0.0000
Sr: 0.3333 0.6667 0.2500
Bi: 0.3333 0.6667 0.7500
Br: 0.0182 0.3557 0.6258

Output
Total DFT energy (no corrections) in eV/cell: -58.54